No. 1
Density functional theory data (PBE) for an optimized crystal structure of LiIn3I9.

The structure in CIF format:
```
data_LiIn3I9
_chemical_formula_sum 'Li2 In6 I18'
_symmetry_space_group_name_H-M 'P 1'
_symmetry_Int_Tables_number 1
_symmetry_space_group_name_Hall 'P 1'
_cell_length_a 13.397
_cell_length_b 11.419
_cell_length_c 13.020
_cell_angle_alpha 58.01
_cell_angle_beta 59.04
_cell_angle_gamma 54.08
loop_
_atom_site_label
_atom_site_type_symbol
_atom_site_fract_x
_atom_site_fract_y
_atom_site_fract_z
Li1 Li 0.814 0.559 0.028
Li2 Li 0.599 0.059 0.528
In1 In 0.810 0.624 0.651
In2 In 0.915 0.124 0.151
In3 In 0.000 0.869 0.847
In4 In 0.284 0.369 0.347
In5 In 0.642 0.316 0.679
In6 In 0.363 0.816 0.179
I1 I 0.485 0.077 0.383
I2 I 0.055 0.577 0.883
I3 I 0.498 0.360 0.904
I4 I 0.237 0.860 0.404
I5 I 0.200 0.943 0.707
I6 I 0.151 0.443 0.207
I7 I 0.593 0.842 0.060
I8 I 0.505 0.342 0.560
I9 I 0.863 0.880 0.404
I10 I 0.853 0.380 0.904
I11 I 0.551 0.834 0.751
I12 I 0.864 0.334 0.251
I13 I 0.459 0.516 0.180
I14 I 0.844 0.016 0.680
I15 I 0.778 0.499 0.516
I16 I 0.207 0.999 0.016
I17 I 0.844 0.939 0.066
I18 I 0.151 0.439 0.566
```

Properties
- density of states at the Fermi level (states/eV per atom) = 0.110
- E (eV per cell) = -62.71



No. 2
Density functional theory data (PBE) for an optimized crystal structure of Li2InI3.

The structure in CIF format:
```
data_Li2InI3
_chemical_formula_sum 'Li4 In2 I6'
_symmetry_space_group_name_H-M 'P 1'
_symmetry_Int_Tables_number 1
_symmetry_space_group_name_Hall 'P 1'
_cell_length_a 6.474
_cell_length_b 8.734
_cell_length_c 8.734
_cell_angle_alpha 109.42
_cell_angle_beta 90.00
_cell_angle_gamma 90.00
loop_
_atom_site_label
_atom_site_type_symbol
_atom_site_fract_x
_atom_site_fract_y
_atom_site_fract_z
Li1 Li 0.000 0.171 0.171
Li2 Li 0.500 0.171 0.171
Li3 Li 0.000 0.829 0.829
Li4 Li 0.500 0.829 0.829
In1 In 0.250 0.257 0.743
In2 In 0.750 0.743 0.257
I1 I 0.750 0.107 0.893
I2 I 0.750 0.154 0.413
I3 I 0.250 0.413 0.154
I4 I 0.750 0.587 0.846
I5 I 0.250 0.846 0.587
I6 I 0.250 0.893 0.107
```

Properties
- energy above the lowest structure with this stoichiometry (eV/atom) = 0.035
- density of states at the Fermi level (states/eV per atom) = 0.000
- E (eV per cell) = -33.25



No. 3
Density functional theory data (PBE) for an optimized crystal structure of LiInI2.

The structure in CIF format:
```
data_LiInI2
_chemical_formula_sum 'Li3 In3 I6'
_symmetry_space_group_name_H-M 'P 1'
_symmetry_Int_Tables_number 1
_symmetry_space_group_name_Hall 'P 1'
_cell_length_a 4.463
_cell_length_b 4.463
_cell_length_c 24.119
_cell_angle_alpha 90.00
_cell_angle_beta 90.00
_cell_angle_gamma 60.00
loop_
_atom_site_label
_atom_site_type_symbol
_atom_site_fract_x
_atom_site_fract_y
_atom_site_fract_z
Li1 Li 0.997 0.000 0.167
Li2 Li 0.003 0.997 0.833
Li3 Li 0.000 0.003 0.500
In1 In 0.000 0.998 0.000
In2 In 0.998 0.002 0.333
In3 In 0.002 0.000 0.667
I1 I 0.335 0.331 0.902
I2 I 0.334 0.335 0.569
I3 I 0.330 0.334 0.235
I4 I 0.666 0.669 0.431
I5 I 0.665 0.666 0.098
I6 I 0.670 0.665 0.765
```

Properties
- energy above the lowest structure with this stoichiometry (eV/atom) = 0.032
- density of states at the Fermi level (states/eV per atom) = 0.000
- E (eV per cell) = -32.67



No. 4
Density functional theory data (PBE) for an optimized crystal structure of LiIn4I5.

The structure in CIF format:
```
data_LiIn4I5
_chemical_formula_sum 'Li1 In4 I5'
_symmetry_space_group_name_H-M 'P 1'
_symmetry_Int_Tables_number 1
_symmetry_space_group_name_Hall 'P 1'
_cell_length_a 6.945
_cell_length_b 8.362
_cell_length_c 8.362
_cell_angle_alpha 80.07
_cell_angle_beta 65.46
_cell_angle_gamma 65.46
loop_
_atom_site_label
_atom_site_type_symbol
_atom_site_fract_x
_atom_site_fract_y
_atom_site_fract_z
Li1 Li 0.060 0.000 0.000
In1 In 0.402 0.399 0.793
In2 In 0.800 0.793 0.601
In3 In 0.195 0.207 0.399
In4 In 0.594 0.601 0.207
I1 I 0.899 0.363 0.834
I2 I 0.261 0.834 0.637
I3 I 0.733 0.166 0.363
I4 I 0.095 0.637 0.166
I5 I 0.472 0.000 0.000
```

Properties
- density of states at the Fermi level (states/eV per atom) = 0.000
- E (eV per cell) = -26.48



No. 5
Density functional theory data (PBE) for an optimized crystal structure of Li3InI.

The structure in CIF format:
```
data_Li3InI
_chemical_formula_sum 'Li3 In1 I1'
_symmetry_space_group_name_H-M 'P 1'
_symmetry_Int_Tables_number 1
_symmetry_space_group_name_Hall 'P 1'
_cell_length_a 5.227
_cell_length_b 5.227
_cell_length_c 5.227
_cell_angle_alpha 90.00
_cell_angle_beta 90.00
_cell_angle_gamma 90.00
loop_
_atom_site_label
_atom_site_type_symbol
_atom_site_fract_x
_atom_site_fract_y
_atom_site_fract_z
I1 I 0.000 0.000 0.000
Li1 Li 0.000 0.500 0.000
Li2 Li 0.000 0.000 0.500
Li3 Li 0.500 0.000 0.000
In1 In 0.500 0.500 0.500
```

Properties
- energy above the lowest structure with this stoichiometry (eV/atom) = 0.000
- density of states at the Fermi level (states/eV per atom) = 0.503
- E (eV per cell) = -11.04



No. 6
Density functional theory data (PBE) for an optimized crystal structure of Li2InI.

The structure in CIF format:
```
data_Li2InI
_chemical_formula_sum 'Li2 In1 I1'
_symmetry_space_group_name_H-M 'P 1'
_symmetry_Int_Tables_number 1
_symmetry_space_group_name_Hall 'P 1'
_cell_length_a 5.277
_cell_length_b 5.277
_cell_length_c 5.277
_cell_angle_alpha 60.00
_cell_angle_beta 60.00
_cell_angle_gamma 60.00
loop_
_atom_site_label
_atom_site_type_symbol
_atom_site_fract_x
_atom_site_fract_y
_atom_site_fract_z
I1 I 0.500 0.500 0.500
Li1 Li 0.250 0.250 0.250
Li2 Li 0.750 0.750 0.750
In1 In 0.000 0.000 0.000
```

Properties
- energy above the lowest structure with this stoichiometry (eV/atom) = 0.178
- density of states at the Fermi level (states/eV per atom) = 0.580
- E (eV per cell) = -8.93



No. 7
Density functional theory data (PBE) for an optimized crystal structure of LiInI4.

The structure in CIF format:
```
data_LiInI4
_chemical_formula_sum 'Li2 In2 I8'
_symmetry_space_group_name_H-M 'P 1'
_symmetry_Int_Tables_number 1
_symmetry_space_group_name_Hall 'P 1'
_cell_length_a 4.281
_cell_length_b 7.336
_cell_length_c 14.937
_cell_angle_alpha 90.63
_cell_angle_beta 90.00
_cell_angle_gamma 90.00
loop_
_atom_site_label
_atom_site_type_symbol
_atom_site_fract_x
_atom_site_fract_y
_atom_site_fract_z
Li1 Li 0.000 0.000 0.500
Li2 Li 0.500 0.500 0.000
In1 In 0.500 0.500 0.500
In2 In 0.000 0.000 0.000
I1 I 0.500 0.179 0.390
I2 I 0.000 0.321 0.110
I3 I 0.500 0.821 0.610
I4 I 0.000 0.679 0.890
I5 I 0.000 0.667 0.383
I6 I 0.500 0.833 0.117
I7 I 0.000 0.333 0.617
I8 I 0.500 0.167 0.883
```

Properties
- energy above the lowest structure with this stoichiometry (eV/atom) = 0.034
- E (eV per cell) = -30.27



No. 8
Density functional theory data (PBE) for an optimized crystal structure of Li2In5I6.

The structure in CIF format:
```
data_Li2In5I6
_chemical_formula_sum 'Li4 In10 I12'
_symmetry_space_group_name_H-M 'P 1'
_symmetry_Int_Tables_number 1
_symmetry_space_group_name_Hall 'P 1'
_cell_length_a 4.856
_cell_length_b 13.385
_cell_length_c 15.070
_cell_angle_alpha 90.00
_cell_angle_beta 90.00
_cell_angle_gamma 90.00
loop_
_atom_site_label
_atom_site_type_symbol
_atom_site_fract_x
_atom_site_fract_y
_atom_site_fract_z
Li1 Li 0.000 0.310 0.288
Li2 Li 0.000 0.690 0.712
Li3 Li 0.000 0.810 0.212
Li4 Li 0.000 0.190 0.788
In1 In 0.500 0.364 0.510
In2 In 0.500 0.636 0.490
In3 In 0.500 0.864 0.990
In4 In 0.500 0.136 0.010
In5 In 0.500 0.558 0.208
In6 In 0.500 0.442 0.792
In7 In 0.500 0.058 0.292
In8 In 0.500 0.942 0.708
In9 In 0.500 0.500 0.000
In10 In 0.500 0.000 0.500
I1 I 0.000 0.188 0.439
I2 I 0.000 0.812 0.561
I3 I 0.000 0.688 0.061
I4 I 0.000 0.312 0.939
I5 I 0.500 0.294 0.195
I6 I 0.500 0.706 0.805
I7 I 0.500 0.794 0.305
I8 I 0.500 0.206 0.695
I9 I 0.000 0.504 0.358
I10 I 0.000 0.496 0.642
I11 I 0.000 0.004 0.142
I12 I 0.000 0.996 0.858
```

Properties
- density of states at the Fermi level (states/eV per atom) = 0.349
- E (eV per cell) = -68.15



No. 9
Density functional theory data (PBE) for an optimized crystal structure of LiInI3.

The structure in CIF format:
```
data_LiInI3
_chemical_formula_sum 'Li1 In1 I3'
_symmetry_space_group_name_H-M 'P 1'
_symmetry_Int_Tables_number 1
_symmetry_space_group_name_Hall 'P 1'
_cell_length_a 6.068
_cell_length_b 6.068
_cell_length_c 6.068
_cell_angle_alpha 90.00
_cell_angle_beta 90.00
_cell_angle_gamma 90.00
loop_
_atom_site_label
_atom_site_type_symbol
_atom_site_fract_x
_atom_site_fract_y
_atom_site_fract_z
I1 I 0.000 0.500 0.000
I2 I 0.000 0.000 0.500
I3 I 0.500 0.000 0.000
Li1 Li 0.500 0.500 0.500
In1 In 0.000 0.000 0.000
```

Properties
- density of states at the Fermi level (states/eV per atom) = 0.240
- E (eV per cell) = -11.64



No. 10
Density functional theory data (PBE) for an optimized crystal structure of LiInI3.

The structure in CIF format:
```
data_LiInI3
_chemical_formula_sum 'Li2 In2 I6'
_symmetry_space_group_name_H-M 'P 1'
_symmetry_Int_Tables_number 1
_symmetry_space_group_name_Hall 'P 1'
_cell_length_a 4.409
_cell_length_b 7.596
_cell_length_c 11.918
_cell_angle_alpha 90.00
_cell_angle_beta 100.66
_cell_angle_gamma 90.00
loop_
_atom_site_label
_atom_site_type_symbol
_atom_site_fract_x
_atom_site_fract_y
_atom_site_fract_z
Li1 Li 0.868 0.946 0.736
Li2 Li 0.132 0.446 0.264
In1 In 0.337 0.509 0.674
In2 In 0.663 0.009 0.326
I1 I 0.901 0.300 0.803
I2 I 0.099 0.800 0.197
I3 I 0.577 0.305 0.154
I4 I 0.423 0.805 0.846
I5 I 0.765 0.735 0.530
I6 I 0.235 0.235 0.470
```

Properties
- density of states at the Fermi level (states/eV per atom) = 0.309
- E (eV per cell) = -25.74



No. 11
Density functional theory data (PBE) for an optimized crystal structure of Li2InI3.

The structure in CIF format:
```
data_Li2InI3
_chemical_formula_sum 'Li4 In2 I6'
_symmetry_space_group_name_H-M 'P 1'
_symmetry_Int_Tables_number 1
_symmetry_space_group_name_Hall 'P 1'
_cell_length_a 4.705
_cell_length_b 7.277
_cell_length_c 13.945
_cell_angle_alpha 106.89
_cell_angle_beta 99.71
_cell_angle_gamma 90.00
loop_
_atom_site_label
_atom_site_type_symbol
_atom_site_fract_x
_atom_site_fract_y
_atom_site_fract_z
Li1 Li 0.707 0.391 0.414
Li2 Li 0.293 0.609 0.586
Li3 Li 0.056 0.207 0.112
Li4 Li 0.944 0.793 0.888
In1 In 0.636 0.869 0.271
In2 In 0.364 0.131 0.729
I1 I 0.769 0.769 0.537
I2 I 0.952 0.184 0.904
I3 I 0.605 0.370 0.210
I4 I 0.231 0.231 0.463
I5 I 0.395 0.630 0.790
I6 I 0.048 0.816 0.096
```

Properties
- energy above the lowest structure with this stoichiometry (eV/atom) = 0.000
- density of states at the Fermi level (states/eV per atom) = 0.000
- E (eV per cell) = -33.68



No. 12
Density functional theory data (PBE) for an optimized crystal structure of LiInI2.

The structure in CIF format:
```
data_LiInI2
_chemical_formula_sum 'Li4 In4 I8'
_symmetry_space_group_name_H-M 'P 1'
_symmetry_Int_Tables_number 1
_symmetry_space_group_name_Hall 'P 1'
_cell_length_a 4.735
_cell_length_b 9.802
_cell_length_c 13.364
_cell_angle_alpha 90.00
_cell_angle_beta 90.00
_cell_angle_gamma 90.00
loop_
_atom_site_label
_atom_site_type_symbol
_atom_site_fract_x
_atom_site_fract_y
_atom_site_fract_z
Li1 Li 0.750 0.948 0.418
Li2 Li 0.250 0.552 0.918
Li3 Li 0.250 0.052 0.582
Li4 Li 0.750 0.448 0.082
In1 In 0.750 0.738 0.706
In2 In 0.250 0.762 0.206
In3 In 0.250 0.262 0.294
In4 In 0.750 0.238 0.794
I1 I 0.750 0.187 0.532
I2 I 0.250 0.313 0.032
I3 I 0.250 0.813 0.468
I4 I 0.750 0.687 0.968
I5 I 0.750 0.514 0.279
I6 I 0.250 0.986 0.779
I7 I 0.250 0.486 0.721
I8 I 0.750 0.014 0.221
```

Properties
- energy above the lowest structure with this stoichiometry (eV/atom) = 0.000
- density of states at the Fermi level (states/eV per atom) = 0.000
- E (eV per cell) = -44.07



no.,M_tot (μB/f.u.)
1,0.0
2,0.0
3,0.0
4,0.0
5,0.0
6,0.0
7,0.0
8,0.0
9,0.0
10,0.0
11,0.0
12,0.0